No. 1
Hf3Cu2Si2 (PBE, relaxed); symmetry = R3m (160); E = -7.020 eV/atom; density = 9420 kg/m³
1.0
2.222 1.283 7.405
-2.222 1.283 7.405
0.000 -2.566 7.405
Hf Cu Si
3 2 2
direct
0.000 0.000 0.000 Hf
0.244 0.244 0.244 Hf
0.489 0.489 0.489 Hf
0.373 0.373 0.373 Cu
0.860 0.860 0.860 Cu
0.119 0.119 0.119 Si
0.620 0.620 0.620 Si

=====

No. 2
HfTaCu2Si4 (PBE, relaxed); symmetry = P4mm (99); E = -6.785 eV/atom; density = 8514 kg/m³
1.0
3.624 0.000 0.000
0.000 3.624 0.000
0.000 0.000 8.894
Hf Ta Cu Si
1 1 2 4
direct
0.000 0.000 0.000 Hf
0.500 0.500 0.541 Ta
0.000 0.500 0.271 Cu
0.500 0.000 0.271 Cu
0.000 0.000 0.451 Si
0.000 0.500 0.765 Si
0.500 0.000 0.765 Si
0.500 0.500 0.092 Si